(1)
Here is a geometry-optimized Ca2InCo structure from the Alexandria database. Energies are from PBE.

```
4
Lattice="9.449 -0.051 -0.030 8.768 3.522 -0.030 8.768 1.671 3.100" Properties=species:S:1:pos:R:3 pbc="T T T"
Ca 26.596 5.068 2.997
Ca 13.881 2.645 1.564
Co 6.746 1.285 0.760
In 20.238 3.856 2.280
```

E_tot in eV per atom: -3.27
V in Å³ per cell: 105.52
Space-group type: R-3m (166)

***

(2)
Here is a geometry-optimized LiV2CoCu structure from the Alexandria database. Energies are from PBE.

```
5
Lattice="4.274 0.000 0.000 0.000 4.314 0.000 0.000 0.000 4.274" Properties=species:S:1:pos:R:3 pbc="T T T"
Li 0.000 2.157 0.000
Co 0.000 0.000 0.000
Cu 2.137 2.157 2.137
V 0.000 0.000 2.137
V 2.137 0.000 0.000
```

E_tot in eV per atom: -5.42
V in Å³ per cell: 78.79
Space-group type: P4/mmm (123)

***

(3)
Here is a geometry-optimized PuBN structure from the Alexandria database. Energies are from PBE.

```
6
Lattice="-1.195 -0.257 3.110 0.542 -3.565 -0.087 5.750 -1.002 2.126" Properties=species:S:1:pos:R:3 pbc="T T T"
Pu 4.548 -3.092 4.063
Pu 2.047 -3.405 1.281
B 3.705 -1.348 2.088
B 2.348 -1.585 3.342
N 5.096 -1.150 2.639
N 0.957 -1.783 2.791
```

E_tot in eV per atom: -10.82
Raw formation energy in eV/atom: -1.04
V in Å³ per cell: 71.63
ΔE to the lowest computed polymorph in meV per atom: 0
Space-group type: Cmcm (63)

***

(4)
Here is a geometry-optimized KInW2 structure from the Alexandria database. Energies are from PBE.

```
4
Lattice="5.074 0.000 0.000 0.000 4.034 0.000 0.000 0.000 4.034" Properties=species:S:1:pos:R:3 pbc="T T T"
In 2.537 2.017 0.000
K 2.537 0.000 2.017
W 0.000 0.000 0.000
W 0.000 2.017 2.017
```

E_tot in eV per atom: -5.84
V in Å³ per cell: 82.56
Space-group type: P4/mmm (123)

***

(5)
Here is a geometry-optimized FeHgSb2 structure from the Alexandria database. Energies are from PBE.

```
8
Lattice="6.241 0.000 0.000 0.000 6.241 0.000 3.120 3.120 6.072" Properties=species:S:1:pos:R:3 pbc="T T T"
Sb 4.261 1.560 1.518
Sb 1.979 4.680 1.518
Sb 4.680 5.099 4.554
Sb 7.801 7.382 4.554
Hg 0.000 0.000 0.000
Hg 6.241 3.120 3.036
Fe 3.120 3.120 0.000
Fe 3.120 6.241 3.036
```

E_tot in eV per atom: -3.88
Raw formation energy in eV/atom: 0.37
V in Å³ per cell: 236.47
Space-group type: I-42d (122)

***

(6)
Here is a geometry-optimized NaAg6Br8 structure from the Alexandria database. Energies are from PBE.

```
15
Lattice="-6.272 2.853 -2.970 -4.001 -4.950 3.974 -0.295 4.936 5.643" Properties=species:S:1:pos:R:3 pbc="T T T"
Na 0.000 0.000 0.000
Ag -5.690 4.160 4.679
Ag -6.148 -0.189 5.809
Ag -8.091 1.383 2.047
Ag -4.879 -1.321 1.969
Ag -4.421 3.029 0.839
Ag -2.478 1.456 4.600
Br -7.160 1.923 4.503
Br -3.409 0.916 2.144
Br -7.564 -1.376 2.314
Br -6.121 4.809 1.967
Br -3.995 1.317 6.839
Br -3.005 4.215 4.333
Br -4.448 -1.970 4.681
Br -6.574 1.523 -0.191
```

E_tot in eV per atom: -2.56
Raw formation energy in eV/atom: -0.44
V in Å³ per cell: 422.35
ΔE to the lowest computed polymorph in meV per atom: 0
Space-group type: R-3 (148)

***

(7)
Here is a geometry-optimized CaDyZn2Au5 structure from the Alexandria database. Energies are from PBE.

```
9
Lattice="4.437 0.000 0.000 0.000 4.437 0.000 0.000 0.000 9.203" Properties=species:S:1:pos:R:3 pbc="T T T"
Ca 0.000 0.000 4.601
Dy 0.000 0.000 0.000
Zn 2.219 2.219 1.183
Zn 2.219 2.219 8.020
Au 0.000 2.219 2.473
Au 2.219 0.000 2.473
Au 0.000 2.219 6.730
Au 2.219 0.000 6.730
Au 2.219 2.219 4.601
```

E_tot in eV per atom: -3.34
V in Å³ per cell: 181.19
Space-group type: P4/mmm (123)

***

(8)
Here is a geometry-optimized Sr2MgNiN structure from the Alexandria database. Energies are from PBE.

```
5
Lattice="5.610 0.000 0.000 0.000 5.610 0.000 0.000 0.000 3.639" Properties=species:S:1:pos:R:3 pbc="T T T"
Sr 0.000 2.805 0.000
Sr 2.805 0.000 0.000
Mg 2.805 2.805 1.820
N 0.000 0.000 0.000
Ni 0.000 0.000 1.820
```

E_tot in eV per atom: -4.03
Raw formation energy in eV/atom: -0.22
V in Å³ per cell: 114.52
Space-group type: P4/mmm (123)

***

(9)
Here is a geometry-optimized LuPuCdHg structure from the Alexandria database. Energies are from PBE.

```
4
Lattice="-3.179 -3.831 1.726 1.650 -3.296 3.765 -2.073 0.275 4.836" Properties=species:S:1:pos:R:3 pbc="T T T"
Cd -2.702 -5.139 7.745
Lu 0.000 0.000 0.000
Hg -0.901 -1.713 2.582
Pu -1.801 -3.426 5.163
```

E_tot in eV per atom: -5.18
V in Å³ per cell: 103.42
Space-group type: F-43m (216)

***

(10)
Here is a geometry-optimized Tl4Bi3Pb4 structure from the Alexandria database. Energies are from PBE.

```
11
Lattice="-0.864 1.767 2.826 -3.972 -3.980 1.320 12.286 -3.673 14.169" Properties=species:S:1:pos:R:3 pbc="T T T"
Tl 1.843 -0.937 2.875
Tl 5.346 -2.437 9.279
Tl 2.104 -3.449 9.036
Tl 5.607 -4.949 15.439
Bi 0.435 -2.729 6.018
Bi 7.015 -3.157 12.296
Bi 12.286 -3.673 14.169
Pb -1.586 -1.375 3.838
Pb 9.036 -4.511 14.476
Pb 3.874 -4.268 12.108
Pb 3.576 -1.618 6.206
```

E_tot in eV per atom: -3.26
V in Å³ per cell: 352.07
Space-group type: P-1 (2)

***

(11)
Here is a geometry-optimized Ge2PdW structure from the Alexandria database. Energies are from PBE.

```
8
Lattice="6.841 0.000 0.000 0.000 6.841 0.000 3.421 3.421 2.935" Properties=species:S:1:pos:R:3 pbc="T T T"
Ge 5.058 1.710 0.734
Ge 1.783 5.131 0.734
Ge 5.131 5.204 2.201
Ge 8.552 8.479 2.201
Pd 3.421 3.421 0.000
Pd 3.421 6.841 1.468
W 0.000 0.000 0.000
W 6.841 3.421 1.468
```

E_tot in eV per atom: -6.36
V in Å³ per cell: 137.38
ΔE to the lowest computed polymorph in meV per atom: 321
Space-group type: I-42d (122)

***

(12)
Here is a geometry-optimized Ba2PRhBr structure from the Alexandria database. Energies are from PBE.

```
5
Lattice="-3.226 -5.196 -0.464 2.341 -1.930 5.331 -3.384 1.907 2.176" Properties=species:S:1:pos:R:3 pbc="T T T"
P -1.692 0.953 1.088
Rh 0.000 0.000 0.000
Ba 1.170 -0.965 2.666
Ba -1.613 -2.598 -0.232
Br -2.135 -2.610 3.522
```

E_tot in eV per atom: -4.73
Raw formation energy in eV/atom: -1.08
V in Å³ per cell: 167.53
ΔE to the lowest computed polymorph in meV per atom: 0
Space-group type: P4/mmm (123)

***

(13)
Here is a geometry-optimized SmErTm4S8 structure from the Alexandria database. Energies are from PBE.

```
14
Lattice="-3.192 7.258 -0.937 -7.884 0.798 -0.976 -4.442 3.190 5.829" Properties=species:S:1:pos:R:3 pbc="T T T"
Sm -8.041 5.812 4.389
Er -11.077 8.056 -1.903
Tm -7.477 5.433 -0.470
Tm -9.364 9.247 1.484
Tm -11.699 6.032 1.465
Tm -13.287 9.644 0.998
S -10.210 4.719 3.310
S -7.666 8.223 3.331
S -5.934 4.286 3.839
S -3.905 2.828 1.198
S -5.369 6.495 0.574
S -7.841 3.091 0.554
S -9.523 6.916 0.060
S -11.622 8.423 2.796
```

E_tot in eV per atom: -6.22
Raw formation energy in eV/atom: -1.92
V in Å³ per cell: 360.41
Space-group type: R3m (160)